Compound: TeAsIr2N
Source: the Alexandria database
Functional: PBE
Structure: optimized geometry

Geometry as CIF:
```
data_TeAsIr2N
_space_group_name_H-M_alt 'P 4/m m m'
_space_group_IT_number 123
_space_group_name_Hall '-P 4 2'
_cell_length_a 3.936
_cell_length_b 3.936
_cell_length_c 6.008
_cell_angle_alpha 90.00
_cell_angle_beta 90.00
_cell_angle_gamma 90.00
loop_
_atom_site_label
_atom_site_fract_x
_atom_site_fract_y
_atom_site_fract_z
Te1 0.000 0.000 0.000
As1 0.500 0.500 0.000
Ir1 0.000 0.500 0.500
N1 0.000 0.000 0.500
```

Properties
**Calculated density**: 10.72 g/cm³
**Total energy**: -5.92 eV per atom
**Crystal system**: tetragonal
**Uncorrected formation energy**: 847 meV per atom

Compound: NaAsIr
Source: the Alexandria database
Functional: PBE
Structure: optimized geometry

Geometry as CIF:
```
data_NaAsIr
_space_group_name_H-M_alt 'P -6 m 2'
_space_group_IT_number 187
_space_group_name_Hall 'P -6 2'
_cell_length_a 4.0838
_cell_length_b 4.0838
_cell_length_c 4.6385
_cell_angle_alpha 90.00
_cell_angle_beta 90.00
_cell_angle_gamma 120.00
loop_
_atom_site_label
_atom_site_fract_x
_atom_site_fract_y
_atom_site_fract_z
Na1 0.0000 0.0000 0.0000
As1 0.6667 0.3333 0.5000
Ir1 0.3333 0.6667 0.5000
```

Properties
**Formation enthalpy at 0 K**: -0.117 eV/atom
**Calculated density**: 7.19 g/cm³
**Total energy**: -5.06 eV per atom
**Crystal system**: hexagonal

Compound: NaAsIr3
Source: the Alexandria database
Functional: PBE
Structure: optimized geometry

Geometry as CIF:
```
data_NaAsIr3
_space_group_name_H-M_alt 'P m -3 m'
_space_group_IT_number 221
_space_group_name_Hall '-P 4 2 3'
_cell_length_a 4.617
_cell_length_b 4.617
_cell_length_c 4.617
_cell_angle_alpha 90.00
_cell_angle_beta 90.00
_cell_angle_gamma 90.00
loop_
_atom_site_label
_atom_site_fract_x
_atom_site_fract_y
_atom_site_fract_z
Na1 0.000 0.000 0.000
As1 0.500 0.500 0.500
Ir1 0.000 0.500 0.500
```

Properties
**Formation enthalpy at 0 K**: 0.825 eV/atom
**Calculated density**: 11.38 g/cm³
**Total energy**: -5.69 eV per atom
**Crystal system**: cubic
**ΔE to the lowest computed polymorph**: 0.0000 eV/atom

Compound: NaAs2Ir2
Source: the Alexandria database
Functional: PBE
Structure: optimized geometry

Geometry as CIF:
```
data_NaAs2Ir2
_space_group_name_H-M_alt 'I 4/m m m'
_space_group_IT_number 139
_space_group_name_Hall '-I 4 2'
_cell_length_a 4.467
_cell_length_b 4.467
_cell_length_c 9.611
_cell_angle_alpha 90.00
_cell_angle_beta 90.00
_cell_angle_gamma 90.00
loop_
_atom_site_label
_atom_site_fract_x
_atom_site_fract_y
_atom_site_fract_z
Na1 0.000 0.000 0.000
As1 0.000 0.500 0.250
Ir1 0.000 0.000 0.362
```

Properties
**Formation enthalpy at 0 K**: -0.105 eV/atom
**Calculated density**: 9.65 g/cm³
**Total energy**: -5.77 eV per atom
**Crystal system**: tetragonal
**ΔE to the lowest computed polymorph**: 0.2610 eV/atom

Compound: NaAsIr
Source: the Alexandria database
Functional: PBE
Structure: optimized geometry

Geometry as CIF:
```
data_NaAsIr
_space_group_name_H-M_alt 'P -3 m 1'
_space_group_IT_number 164
_space_group_name_Hall '-P 3 2"'
_cell_length_a 4.0722
_cell_length_b 4.0722
_cell_length_c 10.4779
_cell_angle_alpha 90.00
_cell_angle_beta 90.00
_cell_angle_gamma 120.00
loop_
_atom_site_label
_atom_site_fract_x
_atom_site_fract_y
_atom_site_fract_z
Na1 0.0000 0.0000 0.1761
As1 0.3333 0.6667 0.3503
Ir1 0.3333 0.6667 0.5867
```

Properties
**Formation enthalpy at 0 K**: -0.161 eV/atom
**Calculated density**: 6.40 g/cm³
**Total energy**: -5.10 eV per atom
**Crystal system**: trigonal

Compound: Na2AsIr2
Source: the Alexandria database
Functional: PBE
Structure: optimized geometry

Geometry as CIF:
```
data_Na2AsIr2
_space_group_name_H-M_alt 'P 4/m b m'
_space_group_IT_number 127
_space_group_name_Hall '-P 4 2ab'
_cell_length_a 6.201
_cell_length_b 6.201
_cell_length_c 5.063
_cell_angle_alpha 90.00
_cell_angle_beta 90.00
_cell_angle_gamma 90.00
loop_
_atom_site_label
_atom_site_fract_x
_atom_site_fract_y
_atom_site_fract_z
Na1 0.169 0.331 0.000
As1 0.000 0.000 0.500
Ir1 0.143 0.643 0.500
```

Properties
**Formation enthalpy at 0 K**: -0.078 eV/atom
**Calculated density**: 8.62 g/cm³
**Total energy**: -5.08 eV per atom
**Crystal system**: tetragonal

Compound: NaAs2Ir
Source: the Alexandria database
Functional: PBE
Structure: optimized geometry

Geometry as CIF:
```
data_NaAs2Ir
_space_group_name_H-M_alt 'F m -3 m'
_space_group_IT_number 225
_space_group_name_Hall '-F 4 2 3'
_cell_length_a 6.418
_cell_length_b 6.418
_cell_length_c 6.418
_cell_angle_alpha 90.00
_cell_angle_beta 90.00
_cell_angle_gamma 90.00
loop_
_atom_site_label
_atom_site_fract_x
_atom_site_fract_y
_atom_site_fract_z
Na1 0.000 0.000 0.000
As1 0.250 0.250 0.250
Ir1 0.000 0.000 0.500
```

Properties
**Formation enthalpy at 0 K**: -0.067 eV/atom
**Calculated density**: 9.17 g/cm³
**Total energy**: -4.94 eV per atom
**Crystal system**: cubic
**ΔE to the lowest computed polymorph**: 0.0245 eV/atom

Compound: NaAs2Ir
Source: the Alexandria database
Functional: PBE
Structure: optimized geometry

Geometry as CIF:
```
data_NaAs2Ir
_space_group_name_H-M_alt 'R -3 m'
_space_group_IT_number 166
_space_group_name_Hall '-R 3 2"'
_cell_length_a 3.6637
_cell_length_b 3.6637
_cell_length_c 25.3497
_cell_angle_alpha 90.00
_cell_angle_beta 90.00
_cell_angle_gamma 120.00
loop_
_atom_site_label
_atom_site_fract_x
_atom_site_fract_y
_atom_site_fract_z
Na1 0.0000 0.0000 0.0000
As1 0.0000 0.0000 0.1134
Ir1 0.0000 0.0000 0.5000
```

Properties
**Formation enthalpy at 0 K**: -0.092 eV/atom
**Calculated density**: 6.17 g/cm³
**Total energy**: -4.96 eV per atom
**Crystal system**: trigonal
**ΔE to the lowest computed polymorph**: 0.0000 eV/atom

Compound: NaAsIr3
Source: the Alexandria database
Functional: PBE
Structure: optimized geometry

Geometry as CIF:
```
data_NaAsIr3
_space_group_name_H-M_alt 'P m -3 m'
_space_group_IT_number 221
_space_group_name_Hall '-P 4 2 3'
_cell_length_a 4.509
_cell_length_b 4.509
_cell_length_c 4.509
_cell_angle_alpha 90.00
_cell_angle_beta 90.00
_cell_angle_gamma 90.00
loop_
_atom_site_label
_atom_site_fract_x
_atom_site_fract_y
_atom_site_fract_z
Na1 0.000 0.000 0.000
As1 0.500 0.500 0.500
Ir1 0.000 0.000 0.500
```

Properties
**Formation enthalpy at 0 K**: 2.263 eV/atom
**Calculated density**: 12.22 g/cm³
**Total energy**: -4.25 eV per atom
**Crystal system**: cubic
**ΔE to the lowest computed polymorph**: 1.4377 eV/atom

Compound: NaAs2Ir
Source: the Alexandria database
Functional: PBE
Structure: optimized geometry

Geometry as CIF:
```
data_NaAs2Ir
_space_group_name_H-M_alt 'I -4 2 d'
_space_group_IT_number 122
_space_group_name_Hall 'I -4 2bw'
_cell_length_a 6.746
_cell_length_b 6.746
_cell_length_c 9.369
_cell_angle_alpha 90.00
_cell_angle_beta 90.00
_cell_angle_gamma 90.00
loop_
_atom_site_label
_atom_site_fract_x
_atom_site_fract_y
_atom_site_fract_z
Na1 0.000 0.000 0.000
As1 0.171 0.250 0.625
Ir1 0.000 0.000 0.500
```

Properties
**Formation enthalpy at 0 K**: -0.061 eV/atom
**Calculated density**: 5.69 g/cm³
**Total energy**: -4.93 eV per atom
**Crystal system**: tetragonal
**ΔE to the lowest computed polymorph**: 0.0303 eV/atom

Compound: NaAs2Ir2
Source: the Alexandria database
Functional: PBE
Structure: optimized geometry

Geometry as CIF:
```
data_NaAs2Ir2
_space_group_name_H-M_alt 'P 4/m b m'
_space_group_IT_number 127
_space_group_name_Hall '-P 4 2ab'
_cell_length_a 7.590
_cell_length_b 7.590
_cell_length_c 2.934
_cell_angle_alpha 90.00
_cell_angle_beta 90.00
_cell_angle_gamma 90.00
loop_
_atom_site_label
_atom_site_fract_x
_atom_site_fract_y
_atom_site_fract_z
Na1 0.000 0.000 0.000
As1 0.159 0.341 0.500
Ir1 0.134 0.634 0.000
```

Properties
**Formation enthalpy at 0 K**: -0.008 eV/atom
**Calculated density**: 10.95 g/cm³
**Total energy**: -5.68 eV per atom
**Crystal system**: tetragonal
**ΔE to the lowest computed polymorph**: 0.3587 eV/atom

Compound: NaAs2Ir2
Source: the Alexandria database
Functional: PBE
Structure: optimized geometry

Geometry as CIF:
```
data_NaAs2Ir2
_space_group_name_H-M_alt 'I 4/m m m'
_space_group_IT_number 139
_space_group_name_Hall '-I 4 2'
_cell_length_a 4.052
_cell_length_b 4.052
_cell_length_c 12.226
_cell_angle_alpha 90.00
_cell_angle_beta 90.00
_cell_angle_gamma 90.00
loop_
_atom_site_label
_atom_site_fract_x
_atom_site_fract_y
_atom_site_fract_z
Na1 0.000 0.000 0.000
As1 0.000 0.000 0.366
Ir1 0.000 0.500 0.250
```

Properties
**Formation enthalpy at 0 K**: -0.366 eV/atom
**Calculated density**: 9.22 g/cm³
**Total energy**: -6.03 eV per atom
**Crystal system**: tetragonal
**ΔE to the lowest computed polymorph**: 0.0000 eV/atom

What did the twelfth record say?
Compound: NaAs2Ir2
Source: the Alexandria database
Functional: PBE
Structure: optimized geometry

Geometry as CIF:
```
data_NaAs2Ir2
_space_group_name_H-M_alt 'I 4/m m m'
_space_group_IT_number 139
_space_group_name_Hall '-I 4 2'
_cell_length_a 4.052
_cell_length_b 4.052
_cell_length_c 12.226
_cell_angle_alpha 90.00
_cell_angle_beta 90.00
_cell_angle_gamma 90.00
loop_
_atom_site_label
_atom_site_fract_x
_atom_site_fract_y
_atom_site_fract_z
Na1 0.000 0.000 0.000
As1 0.000 0.000 0.366
Ir1 0.000 0.500 0.250
```

Properties
**Formation enthalpy at 0 K**: -0.366 eV/atom
**Calculated density**: 9.22 g/cm³
**Total energy**: -6.03 eV per atom
**Crystal system**: tetragonal
**ΔE to the lowest computed polymorph**: 0.0000 eV/atom

- Which formula does entry 6 have?
  Na2AsIr2

- Which value of calculated density does entry 10 give?
  5.69 g/cm³